Record 1
The following is a PBE calculation of an optimized crystal structure of NbH2PbCl, from Alexandria via LeMat-Bulk.

Calculated values
As for the total DFT energy (no corrections): -3.67 eV/atom. The density of states at the Fermi level comes out at 2.654 states/eV per cell.

The structure in POSCAR format:
```
NbH2PbCl
1.0
-0.3507 3.2691 -2.1172
-4.9314 -2.7998 -3.5062
-2.6083 1.3816 2.5652
Pb Nb H Cl
1 1 2 1
direct
0.0000 0.0000 0.0000 Pb
0.5000 0.5000 0.5000 Nb
0.5000 0.0000 0.0000 H
0.0000 0.0000 0.5000 H
0.0000 0.5000 0.0000 Cl
```

=====

Record 2
The following is a PBE calculation of an optimized crystal structure of RbNbH2Cl8, from Alexandria via LeMat-Bulk.

Calculated values
As for the total DFT energy (no corrections): -3.85 eV/atom. The density of states at the Fermi level comes out at 0.000 states/eV per cell.

The structure in POSCAR format:
```
RbNbH2Cl8
1.0
6.6310 -0.9725 -0.2046
-0.7954 6.9088 -1.5126
-0.2010 -2.4215 8.9087
Cl H Rb Nb
8 2 1 1
direct
0.1393 0.8152 0.1178 Cl
0.9445 0.2523 0.2647 Cl
0.0555 0.7477 0.7353 Cl
0.8607 0.1848 0.8822 Cl
0.6592 0.7626 0.9617 Cl
0.4726 0.7133 0.4186 Cl
0.3408 0.2374 0.0383 Cl
0.5274 0.2867 0.5814 Cl
0.5769 0.4676 0.7237 H
0.4231 0.5324 0.2763 H
0.0000 0.0000 0.5000 Rb
0.0000 0.0000 0.0000 Nb
```

=====

Record 3
The following is a PBE calculation of an optimized crystal structure of NbTcH2Cl, from Alexandria via LeMat-Bulk.

Calculated values
As for the total DFT energy (no corrections): -4.71 eV/atom. The density of states at the Fermi level comes out at 2.826 states/eV per cell.

The structure in POSCAR format:
```
NbTcH2Cl
1.0
3.4825 0.0000 0.0000
0.0000 7.9193 0.0000
0.0000 0.0000 3.4825
Nb Cl Tc H
1 1 1 2
direct
0.0000 0.5000 0.0000 Nb
0.0000 0.0000 0.0000 Cl
0.5000 0.5000 0.5000 Tc
0.0000 0.0000 0.5000 H
0.5000 0.0000 0.0000 H
```